Compound: UNbZnO6
Source: the Alexandria database
Functional: GGA-PBE
Structure: relaxed

Computed properties:
Total DFT energy (no corrections) = -8.2454 eV/atom
DOS at the Fermi energy = 0.414 states/eV/atom
Raw formation energy = -2425.3 meV/atom

Unit cell a=5.5100 b=5.5100 c=8.9390 alpha=90.00 beta=90.00 gamma=120.00
Last column: nearest neighbours and their distance in Å.
Element x y z (fractional)
U 0.3333 0.6667 0.2500  6 O 2.15
U 0.6667 0.3333 0.7500  6 O 2.15
Nb 0.3333 0.6667 0.7500  6 O 2.03
Nb 0.6667 0.3333 0.2500  6 O 2.03
Zn 0.0000 0.0000 0.0000  6 O 2.24
Zn 0.0000 0.0000 0.5000  6 O 2.24
O 0.0171 0.3546 0.6317  1 Nb 2.03, 1 U 2.15, 1 Zn 2.24
O 0.0171 0.6625 0.8683  1 Nb 2.03, 1 U 2.15, 1 Zn 2.24
O 0.3375 0.3546 0.8683  1 Nb 2.03, 1 U 2.15, 1 Zn 2.24
O 0.3375 0.9829 0.6317  1 Nb 2.03, 1 U 2.15, 1 Zn 2.24
O 0.3546 0.0171 0.1317  1 Nb 2.03, 1 U 2.15, 1 Zn 2.24
O 0.3546 0.3375 0.3683  1 Nb 2.03, 1 U 2.15, 1 Zn 2.24
O 0.6454 0.6625 0.6317  1 Nb 2.03, 1 U 2.15, 1 Zn 2.24
O 0.6454 0.9829 0.8683  1 Nb 2.03, 1 U 2.15, 1 Zn 2.24
O 0.6625 0.0171 0.3683  1 Nb 2.03, 1 U 2.15, 1 Zn 2.24
O 0.6625 0.6454 0.1317  1 Nb 2.03, 1 U 2.15, 1 Zn 2.24
O 0.9829 0.3375 0.1317  1 Nb 2.03, 1 U 2.15, 1 Zn 2.24
O 0.9829 0.6454 0.3683  1 Nb 2.03, 1 U 2.15, 1 Zn 2.24



Compound: LiYZnF6
Source: the Alexandria database
Functional: GGA-PBE
Structure: relaxed

Computed properties:
Total DFT energy (no corrections) = -5.4768 eV/atom
DOS at the Fermi energy = 0.000 states/eV/atom
Raw formation energy = -3156.8 meV/atom

Unit cell a=5.5464 b=5.5464 c=8.9444 alpha=90.00 beta=90.00 gamma=120.00
Last column: nearest neighbours and their distance in Å.
Element x y z (fractional)
Li 0.0000 0.0000 0.0000  6 F 2.19
Li 0.0000 0.0000 0.5000  6 F 2.19
Y 0.3333 0.6667 0.2500  6 F 2.21
Y 0.6667 0.3333 0.7500  6 F 2.21
Zn 0.3333 0.6667 0.7500  6 F 2.07
Zn 0.6667 0.3333 0.2500  6 F 2.07
F 0.0188 0.3456 0.6278  1 Zn 2.07, 1 Li 2.19, 1 Y 2.21
F 0.0188 0.6732 0.8722  1 Zn 2.07, 1 Li 2.19, 1 Y 2.21
F 0.3268 0.3456 0.8722  1 Zn 2.07, 1 Li 2.19, 1 Y 2.21
F 0.3268 0.9812 0.6278  1 Zn 2.07, 1 Li 2.19, 1 Y 2.21
F 0.3456 0.0188 0.1278  1 Zn 2.07, 1 Li 2.19, 1 Y 2.21
F 0.3456 0.3268 0.3722  1 Zn 2.07, 1 Li 2.19, 1 Y 2.21
F 0.6544 0.6732 0.6278  1 Zn 2.07, 1 Li 2.19, 1 Y 2.21
F 0.6544 0.9812 0.8722  1 Zn 2.07, 1 Li 2.19, 1 Y 2.21
F 0.6732 0.0188 0.3722  1 Zn 2.07, 1 Li 2.19, 1 Y 2.21
F 0.6732 0.6544 0.1278  1 Zn 2.07, 1 Li 2.19, 1 Y 2.21
F 0.9812 0.3268 0.1278  1 Zn 2.07, 1 Li 2.19, 1 Y 2.21
F 0.9812 0.6544 0.3722  1 Zn 2.07, 1 Li 2.19, 1 Y 2.21



Compound: Ti3ReMo
Source: the Alexandria database
Functional: GGA-PBE
Structure: relaxed

Computed properties:
Formation energy = 5.0 eV per formula unit
Energy above the most stable polymorph in this dataset = 6.003 eV/f.u.
Total DFT energy (no corrections) = -8.3926 eV/atom
DOS at the Fermi energy = 0.908 states/eV/atom

Unit cell a=4.6846 b=4.6846 c=4.6846 alpha=90.00 beta=90.00 gamma=90.00
Last column: nearest neighbours and their distance in Å.
Element x y z (fractional)
Ti 0.0000 0.0000 0.5000  2 Re 2.34
Ti 0.0000 0.5000 0.0000  2 Re 2.34
Ti 0.5000 0.0000 0.0000  2 Re 2.34
Re 0.0000 0.0000 0.0000  6 Ti 2.34
Mo 0.5000 0.5000 0.5000  12 Ti 3.31



Compound: K3Ac2TbTe6
Source: the Alexandria database
Functional: GGA-PBE
Structure: relaxed

Computed properties:
Total DFT energy (no corrections) = -4.3732 eV/atom
DOS at the Fermi energy = 0.000 states/eV/atom
Raw formation energy = -1457.4 meV/atom

Unit cell a=8.2075 b=8.2075 c=8.7158 alpha=99.06 beta=99.06 gamma=120.02
Last column: nearest neighbours and their distance in Å.
Element x y z (fractional)
K 0.0000 0.0000 0.0000  6 Te 3.55-3.71
K 0.3302 0.6698 0.0000  6 Te 3.55-3.67
K 0.6698 0.3302 0.0000  6 Te 3.55-3.67
Ac 0.1663 0.8337 0.5000  6 Te 3.33-3.34
Ac 0.8337 0.1663 0.5000  6 Te 3.33-3.34
Tb 0.5000 0.5000 0.5000  6 Te 3.16
Te 0.1109 0.4275 0.2823  1 Tb 3.16, 2 Ac 3.34
Te 0.2569 0.2569 0.7178  1 Tb 3.16, 2 Ac 3.33
Te 0.4275 0.1109 0.2823  1 Tb 3.16, 2 Ac 3.34
Te 0.5725 0.8891 0.7177  1 Tb 3.16, 2 Ac 3.34
Te 0.7431 0.7431 0.2822  1 Tb 3.16, 2 Ac 3.33
Te 0.8891 0.5725 0.7177  1 Tb 3.16, 2 Ac 3.34



Compound: SrRhCl2
Source: the Alexandria database
Functional: GGA-PBE
Structure: relaxed

Computed properties:
Energy above the most stable polymorph in this dataset = 2.156 eV/f.u.
Total DFT energy (no corrections) = -3.6621 eV/atom
DOS at the Fermi energy = 1.815 states/eV/atom
Raw formation energy = -480.5 meV/atom

Unit cell a=5.0393 b=5.0393 c=5.0393 alpha=60.00 beta=60.00 gamma=60.00
Last column: nearest neighbours and their distance in Å.
Element x y z (fractional)
Sr 0.0000 0.0000 0.0000  4 Cl 3.09, 4 Rh 3.09
Rh 0.2500 0.2500 0.2500  4 Cl 3.09, 4 Sr 3.09
Cl 0.5000 0.5000 0.5000  4 Cl 3.09, 4 Rh 3.09
Cl 0.7500 0.7500 0.7500  4 Cl 3.09, 4 Sr 3.09



Compound: LaZr4P
Source: the Alexandria database
Functional: GGA-PBE
Structure: relaxed

Computed properties:
Formation energy = 2.3 eV per formula unit
Total DFT energy (no corrections) = -7.0367 eV/atom
DOS at the Fermi energy = 1.347 states/eV/atom

Unit cell a=5.9098 b=5.9098 c=5.9098 alpha=60.00 beta=60.00 gamma=60.00
Last column: nearest neighbours and their distance in Å.
Element x y z (fractional)
La 0.0000 0.0000 0.0000  12 Zr 3.46, 4 P 3.62
Zr 0.3729 0.3729 0.3729  6 Zr 2.91-3.00
Zr 0.3729 0.3729 0.8813  6 Zr 2.91-3.00
Zr 0.3729 0.8813 0.3729  6 Zr 2.91-3.00
Zr 0.8813 0.3729 0.3729  6 Zr 2.91-3.00
P 0.7500 0.7500 0.7500  12 Zr 3.47, 4 La 3.62



Compound: Ca2AlCu
Source: the Alexandria database
Functional: GGA-PBE
Structure: relaxed

Computed properties:
Formation energy = 0.4 eV per formula unit
Total DFT energy (no corrections) = -2.8670 eV/atom
DOS at the Fermi energy = 0.495 states/eV/atom

Unit cell a=8.9880 b=8.9880 c=8.9880 alpha=24.49 beta=24.49 gamma=24.49
Last column: nearest neighbours and their distance in Å.
Element x y z (fractional)
Ca 0.2415 0.2415 0.2415  3 Cu 2.95, 3 Al 3.26
Ca 0.7585 0.7585 0.7585  3 Cu 2.95, 3 Al 3.26
Al 0.0000 0.0000 0.0000  6 Ca 3.26
Cu 0.5000 0.5000 0.5000  6 Ca 2.95



Compound: MnCr3Mo
Source: the Alexandria database
Functional: GGA-PBE
Structure: relaxed

Computed properties:
Formation energy = 10.2 eV per formula unit
Total DFT energy (no corrections) = -7.7305 eV/atom
DOS at the Fermi energy = 1.856 states/eV/atom

Unit cell a=4.3657 b=4.3657 c=4.3657 alpha=90.00 beta=90.00 gamma=90.00
Last column: nearest neighbours and their distance in Å.
Element x y z (fractional)
Mn 0.0000 0.0000 0.0000  12 Cr 3.09
Cr 0.0000 0.5000 0.5000  2 Mo 2.18
Cr 0.5000 0.0000 0.5000  2 Mo 2.18
Cr 0.5000 0.5000 0.0000  2 Mo 2.18
Mo 0.5000 0.5000 0.5000  6 Cr 2.18



Compound: SnSeBr2N
Source: the Alexandria database
Functional: GGA-PBE
Structure: relaxed

Computed properties:
Energy above the most stable polymorph in this dataset = 1.316 eV/f.u.
Total DFT energy (no corrections) = -2.9174 eV/atom
DOS at the Fermi energy = 0.922 states/eV/atom
Raw formation energy = 914.3 meV/atom

Unit cell a=5.6056 b=5.6056 c=5.3246 alpha=90.00 beta=90.00 gamma=90.00
Last column: nearest neighbours and their distance in Å.
Element x y z (fractional)
Sn 0.0000 0.0000 0.0000  2 Se 2.66, 4 Br 2.80
Se 0.0000 0.0000 0.5000  2 Sn 2.66
Br 0.0000 0.5000 0.0000  2 Sn 2.80
Br 0.5000 0.0000 0.0000  2 Sn 2.80
N 0.5000 0.5000 0.5000  8 Br 3.87, 4 Se 3.96



Compound: CaSe2O2
Source: the Alexandria database
Functional: GGA-PBE
Structure: relaxed

Computed properties:
Energy above the most stable polymorph in this dataset = 1.481 eV/f.u.
Total DFT energy (no corrections) = -4.1424 eV/atom
DOS at the Fermi energy = 0.020 states/eV/atom
Raw formation energy = -365.0 meV/atom

Unit cell a=5.2750 b=5.2750 c=5.2750 alpha=129.98 beta=129.98 gamma=73.43
Last column: nearest neighbours and their distance in Å.
Element x y z (fractional)
Ca 0.0000 0.0000 0.0000  8 O 3.07, 10 Se 3.12-3.34
Se 0.3694 0.3694 0.0000  1 Se 2.21, 4 O 2.45
Se 0.6306 0.6306 0.0000  1 Se 2.21, 4 O 2.45
O 0.2500 0.7500 0.5000  4 Se 2.45
O 0.7500 0.2500 0.5000  4 Se 2.45



Compound: KTlZn
Source: the Alexandria database
Functional: GGA-PBE
Structure: relaxed

Computed properties:
Formation energy = 0.3 eV per formula unit
Energy above the most stable polymorph in this dataset = 0.187 eV/f.u.
Total DFT energy (no corrections) = -1.4925 eV/atom
DOS at the Fermi energy = 0.545 states/eV/atom

Unit cell a=9.4567 b=9.4567 c=9.4567 alpha=108.31 beta=90.08 gamma=133.19
Last column: nearest neighbours and their distance in Å.
Element x y z (fractional)
K 0.0004 0.2500 0.2504  5 Tl 3.43-3.55, 2 Zn 3.70
K 0.9996 0.7500 0.7496  5 Tl 3.43-3.55, 2 Zn 3.70
K 0.4513 0.4265 0.5248  5 Tl 3.47-3.57, 2 Zn 3.79, 3 K 3.81-3.86
K 0.4536 0.9320 0.0215  5 Tl 3.46-3.56, 2 Zn 3.76, 2 K 3.80
K 0.9017 0.9265 0.4752  5 Tl 3.47-3.57, 2 Zn 3.79, 3 K 3.81-3.86
K 0.9105 0.4320 0.9785  5 Tl 3.46-3.56, 2 Zn 3.76, 2 K 3.80
Tl 0.1188 0.4549 0.6639  3 Zn 3.05-3.14
Tl 0.1188 0.9549 0.1639  3 Zn 3.05-3.14
Tl 0.4531 0.7059 0.2472  6 Zn 3.21-3.23, 3 K 3.43-3.47
Tl 0.4587 0.2059 0.7528  6 Zn 3.21-3.23, 3 K 3.43-3.47
Tl 0.7910 0.4549 0.3361  3 Zn 3.05-3.14
Tl 0.7910 0.9549 0.8361  3 Zn 3.05-3.14
Zn 0.2447 0.3524 0.8909  2 Zn 2.81-2.90, 2 Tl 3.08-3.14
Zn 0.2447 0.8538 0.3923  2 Zn 2.81-2.90, 2 Tl 3.08-3.14
Zn 0.4615 0.3538 0.1091  2 Zn 2.81-2.90, 2 Tl 3.08-3.14
Zn 0.4615 0.8524 0.6077  2 Zn 2.81-2.90, 2 Tl 3.08-3.14
Zn 0.6731 0.1731 0.5000  2 Zn 2.81, 2 Tl 3.05
Zn 0.6731 0.6731 0.0000  2 Zn 2.81, 2 Tl 3.05